A relaxed structure of AgTeRu, computed with PBE-GGA.

Properties
As for the symmetry: F-43m. As for the crystal system: cubic. Its energy relative to the lowest polymorph listed for this composition is 207 meV/atom. Its density of states at the Fermi level is 3.09 states/eV per cell.

Unit cell a=4.4440 b=4.4440 c=4.4440 alpha=60.00 beta=60.00 gamma=60.00
Element x y z (fractional)
Ag 0.5000 0.5000 0.5000
Ru 0.7500 0.7500 0.7500
Te 0.0000 0.0000 0.0000